1.
# CaPm2Mg, relaxed, DFT PBE-GGA
data_CaPm2Mg
_chemical_formula_sum 'Ca1 Pm2 Mg1'
_space_group_name_H-M_alt 'P 4/m m m'
_space_group_IT_number 123
_space_group_name_Hall '-P 4 2'
_cell_length_a 5.542
_cell_length_b 5.542
_cell_length_c 4.223
_cell_angle_alpha 90.00
_cell_angle_beta 90.00
_cell_angle_gamma 90.00
loop_
_atom_site_label
_atom_site_type_symbol
_atom_site_fract_x
_atom_site_fract_y
_atom_site_fract_z
Ca1 Ca 0.000 0.000 0.000
Pm1 Pm 0.000 0.500 0.500
Mg1 Mg 0.500 0.500 0.000
# formation energy: 0.039 eV/atom
# energy above the most stable polymorph in this dataset: 0.036 eV per atom

2.
# BeIn3Os, relaxed, DFT PBE-GGA
data_BeIn3Os
_chemical_formula_sum 'Be1 In3 Os1'
_space_group_name_H-M_alt 'P m -3 m'
_space_group_IT_number 221
_space_group_name_Hall '-P 4 2 3'
_cell_length_a 5.194
_cell_length_b 5.194
_cell_length_c 5.194
_cell_angle_alpha 90.00
_cell_angle_beta 90.00
_cell_angle_gamma 90.00
loop_
_atom_site_label
_atom_site_type_symbol
_atom_site_fract_x
_atom_site_fract_y
_atom_site_fract_z
Be1 Be 0.000 0.000 0.000
In1 In 0.000 0.500 0.500
Os1 Os 0.500 0.500 0.500
# formation energy: 0.765 eV/atom
# energy above the most stable polymorph in this dataset: 0.000 eV per atom

Q: formation energy of number 1 (CaPm2Mg)?
A: 0.039 eV/atom

Q: Which value of formation energy does entry 1 give?
A: 0.039 eV/atom

Q: What is the energy above the most stable polymorph in this dataset in the first record?
A: 0.036 eV per atom

Q: What is the energy above the most stable polymorph in this dataset in the second record?
A: 0.000 eV per atom